(1)
Below is K3CdB2S6 after structural relaxation, with properties calculated at the PBE level.

The structure in POSCAR format:
```
K3CdB2S6
1.0
6.6771 0.0000 0.0000
-3.3386 5.7826 0.0000
0.0000 0.0000 8.7260
K Cd B S
3 1 2 6
Cartesian
0.0000 0.0000 0.0000 K
0.0000 3.8551 5.8564 K
3.3386 1.9275 2.8697 K
0.0000 0.0000 4.3630 Cd
0.0000 3.8551 2.5907 B
3.3386 1.9275 6.1353 B
0.0000 2.0401 2.5089 S
-1.5718 4.7625 2.5089 S
1.7668 1.0201 6.2171 S
1.5718 4.7625 2.5089 S
4.9103 1.0201 6.2171 S
3.3386 3.7424 6.2171 S
```

Properties
As for the total energy: -4.24 eV/atom. The value obtained for the uncorrected formation energy is -0.71 eV/atom. The value obtained for the density of states at the Fermi level is 4.685 states/eV/f.u. Its crystal system is trigonal.

=====

(2)
Below is ScAlSe2 after structural relaxation, with properties calculated at the PBE level.

The structure in POSCAR format:
```
ScAlSe2
1.0
3.8858 0.0000 0.0000
0.0000 3.8858 0.0000
0.0000 0.0000 5.5817
Sc Al Se
1 1 2
Cartesian
0.0000 0.0000 0.0000 Sc
1.9429 1.9429 2.7908 Al
0.0000 0.0000 2.7908 Se
1.9429 1.9429 0.0000 Se
```

Properties
As for the total energy: -5.24 eV/atom. The value obtained for the uncorrected formation energy is -0.98 eV/atom. The value obtained for the density of states at the Fermi level is 2.645 states/eV/f.u. Its crystal system is tetragonal.

=====

(3)
Below is Ti3NiBi after structural relaxation, with properties calculated at the PBE level.

The structure in POSCAR format:
```
Ti3NiBi
1.0
5.0723 0.0000 0.0000
0.0000 5.0723 0.0000
0.0000 0.0000 5.0723
Ti Ni Bi
3 1 1
Cartesian
0.0000 0.0000 2.5362 Ti
0.0000 2.5362 0.0000 Ti
2.5362 0.0000 0.0000 Ti
2.5362 2.5362 2.5362 Ni
0.0000 0.0000 0.0000 Bi
```

Properties
As for the total energy: -5.13 eV/atom. As for the formation enthalpy at 0 K: 1.54 eV per atom. The value obtained for the density of states at the Fermi level is 8.885 states/eV/f.u. Its crystal system is cubic. Its polymorph energy (0 for the lowest one) is 1.744 eV per atom.

=====

(4)
Below is PmNd7Y2 after structural relaxation, with properties calculated at the PBE level.

The structure in POSCAR format:
```
PmNd7Y2
1.0
6.3264 0.0000 0.0000
-1.0665 6.2480 0.0000
-3.1463 -2.6841 8.7496
Pm Nd Y
1 7 2
Cartesian
0.0000 0.0000 0.0000 Pm
-2.1064 1.7820 4.3748 Nd
-1.0420 -1.2613 6.1165 Nd
-0.0075 3.2137 1.7609 Nd
-1.0391 1.9586 7.8687 Nd
3.1527 1.6054 0.8809 Nd
2.1211 0.3503 6.9887 Nd
3.1556 4.8252 2.6331 Nd
1.0606 0.1768 3.5112 Y
1.0530 3.3871 5.2384 Y
```

Properties
As for the total energy: -5.09 eV/atom. As for the formation enthalpy at 0 K: 0.01 eV per atom. The value obtained for the density of states at the Fermi level is 15.662 states/eV/f.u. Its crystal system is triclinic. Its polymorph energy (0 for the lowest one) is 0.000 eV per atom.

=====

(5)
Below is YAg2Te after structural relaxation, with properties calculated at the PBE level.

The structure in POSCAR format:
```
YAg2Te
1.0
4.3007 0.0000 0.0000
0.0000 4.2762 0.0000
-0.0291 0.0000 5.0648
Y Ag Te
1 2 1
Cartesian
0.0000 0.0000 0.0000 Y
-0.0145 2.1381 2.5324 Ag
2.1358 0.0000 2.5324 Ag
2.1503 2.1381 0.0000 Te
```

Properties
As for the total energy: -4.27 eV/atom. The value obtained for the uncorrected formation energy is -0.44 eV/atom. The value obtained for the density of states at the Fermi level is 1.828 states/eV/f.u. Its crystal system is monoclinic.

=====

(6)
Below is CeErRuPb after structural relaxation, with properties calculated at the PBE level.

The structure in POSCAR format:
```
CeErRuPb
1.0
3.3869 0.0000 0.0000
0.0000 3.3869 0.0000
0.0000 0.0000 8.4446
Ce Er Ru Pb
1 1 1 1
Cartesian
0.0000 0.0000 0.0000 Ce
0.0000 0.0000 5.0180 Er
1.6935 1.6935 6.7031 Ru
1.6935 1.6935 2.5710 Pb
```

Properties
As for the total energy: -6.31 eV/atom. As for the formation enthalpy at 0 K: -0.44 eV per atom. The value obtained for the density of states at the Fermi level is 4.159 states/eV/f.u. Its crystal system is tetragonal.